# MnOsW, optimized geometry, DFT PBE
data_MnOsW
_chemical_formula_sum 'Mn1 Os1 W1'
_cell_length_a 4.3149
_cell_length_b 4.3149
_cell_length_c 2.6953
_cell_angle_alpha 90.00
_cell_angle_beta 90.00
_cell_angle_gamma 120.00
_space_group_name_H-M_alt 'P 3 m 1'
_space_group_IT_number 156
_space_group_name_Hall 'P 3 -2"'
loop_
_atom_site_label
_atom_site_type_symbol
_atom_site_fract_x
_atom_site_fract_y
_atom_site_fract_z
_atom_site_occupancy
Mn1 Mn 0.0000 0.0000 0.0000 1
Os1 Os 0.6667 0.3333 0.3584 1
W1 W 0.3333 0.6667 0.6926 1
# **M_tot**: 0.95 μB per atom
# **Calculated total energy**: -10.966 eV/atom
# **Offset from the most stable computed form**: 0.0436 eV per atom